# 1
Density functional theory data (GGA-PBE) for an optimized crystal structure of BaPtPb2.

Its volume is 252 Å³/cell. For the density of states at the Fermi level, the calculation gives 4.9 states/eV/cell. The calculation puts the formation energy at -0.47 eV/atom.

It has space group Cm (No. 8), with a = 8.3280 Å, b = 4.8174 Å, c = 6.8661 Å, α = 90.00°, β = 113.78° and γ = 90.00°. The inequivalent atoms are Ba at (0.0000, 0.0000, 0.0000), Pt at (0.3219, 0.5000, 0.4645), Pb at (0.2134, 0.0000, 0.6387) and Pb at (0.4500, 0.0000, 0.3491).

---

# 2
Density functional theory data (GGA-PBE) for an optimized crystal structure of LiTmSiHg.

Its volume is 324 Å³/cell. For the density of states at the Fermi level, the calculation gives 5.5 states/eV/cell. Its uncorrected formation energy is -385 meV/atom.

It has space group F-43m (No. 216), with a = 6.8663 Å, b = 6.8663 Å, c = 6.8663 Å, α = 90.00°, β = 90.00° and γ = 90.00°. The inequivalent atoms are Li at (0.0000, 0.0000, 0.0000), Tm at (0.0000, 0.0000, 0.5000), Si at (0.2500, 0.2500, 0.7500) and Hg at (0.2500, 0.2500, 0.2500).

---

# 3
Density functional theory data (GGA-PBE) for an optimized crystal structure of HfP3W.

Its volume is 111 Å³/cell. For the density of states at the Fermi level, the calculation gives 13.1 states/eV/cell. The calculation puts the formation energy at 1.41 eV/atom.

It has space group Pm-3m (No. 221), with a = 4.8079 Å, b = 4.8079 Å, c = 4.8079 Å, α = 90.00°, β = 90.00° and γ = 90.00°. The inequivalent atoms are Hf at (0.0000, 0.0000, 0.0000), P at (0.0000, 0.0000, 0.5000) and W at (0.5000, 0.5000, 0.5000).

---

# 4
Density functional theory data (GGA-PBE) for an optimized crystal structure of Zn2GeBr.

Its volume is 334 Å³/cell. For the density of states at the Fermi level, the calculation gives 18.4 states/eV/cell. Its uncorrected formation energy is 398 meV/atom.

It has space group Fm-3m (No. 225), with a = 6.9382 Å, b = 6.9382 Å, c = 6.9382 Å, α = 90.00°, β = 90.00° and γ = 90.00°. The inequivalent atoms are Zn at (0.2500, 0.2500, 0.2500), Ge at (0.0000, 0.0000, 0.0000) and Br at (0.0000, 0.0000, 0.5000).

---

# 5
Density functional theory data (GGA-PBE) for an optimized crystal structure of KOsW3.

Its volume is 86 Å³/cell. For the density of states at the Fermi level, the calculation gives 6.1 states/eV/cell. The calculation puts the formation energy at 3.74 eV/atom.

It has space group Pm-3m (No. 221), with a = 4.4164 Å, b = 4.4164 Å, c = 4.4164 Å, α = 90.00°, β = 90.00° and γ = 90.00°. The inequivalent atoms are K at (0.0000, 0.0000, 0.0000), Os at (0.5000, 0.5000, 0.5000) and W at (0.0000, 0.0000, 0.5000).

---

# 6
Density functional theory data (GGA-PBE) for an optimized crystal structure of K2MgAsI.

Its volume is 267 Å³/cell. For the density of states at the Fermi level, the calculation gives 7.4 states/eV/cell. Its uncorrected formation energy is 229 meV/atom.

It has space group P4/mmm (No. 123), with a = 6.8293 Å, b = 6.8293 Å, c = 5.7180 Å, α = 90.00°, β = 90.00° and γ = 90.00°. The inequivalent atoms are K at (0.0000, 0.5000, 0.0000), Mg at (0.0000, 0.0000, 0.0000), As at (0.5000, 0.5000, 0.5000) and I at (0.0000, 0.0000, 0.5000).

---

# 7
Density functional theory data (GGA-PBE) for an optimized crystal structure of TaInPt.

Its volume is 109 Å³/cell. For the density of states at the Fermi level, the calculation gives 3.7 states/eV/cell. The calculation puts the formation energy at -0.29 eV/atom.

It has space group I4mm (No. 107), with a = 3.0066 Å, b = 3.0066 Å, c = 12.0519 Å, α = 90.00°, β = 90.00° and γ = 90.00°. The inequivalent atoms are Ta at (0.0000, 0.0000, 0.0000), In at (0.0000, 0.0000, 0.3199) and Pt at (0.0000, 0.0000, 0.6487).

---

# 8
Density functional theory data (GGA-PBE) for an optimized crystal structure of CuPOsS.

Its volume is 125 Å³/cell. For the density of states at the Fermi level, the calculation gives 2.5 states/eV/cell. Its uncorrected formation energy is 85 meV/atom.

It has space group Cm (No. 8), with a = 7.0968 Å, b = 3.0156 Å, c = 5.9042 Å, α = 90.00°, β = 97.68° and γ = 90.00°. The inequivalent atoms are Cu at (0.0000, 0.0000, 0.0000), P at (0.0640, 0.0000, 0.3784), Os at (0.3814, 0.0000, 0.5848) and S at (0.2013, 0.5000, 0.8091).

---

# 9
Density functional theory data (GGA-PBE) for an optimized crystal structure of Ti3Be7Co2.

Its volume is 386 Å³/cell. For the density of states at the Fermi level, the calculation gives 34.3 states/eV/cell. The calculation puts the formation energy at -0.21 eV/atom.

It has space group R-3m (No. 166, hexagonal axes), with a = 4.5231 Å, b = 4.5231 Å, c = 21.7694 Å, α = 90.00°, β = 90.00° and γ = 120.00°. The inequivalent atoms are Ti at (0.0000, 0.0000, 0.0000), Ti at (0.0000, 0.0000, 0.1451), Be at (0.0000, 0.0000, 0.5000), Be at (0.0001, 0.5000, 0.0827) and Co at (0.0000, 0.0000, 0.3337).

---

# 10
Density functional theory data (GGA-PBE) for an optimized crystal structure of CsBaBiOs.

Its volume is 377 Å³/cell. For the density of states at the Fermi level, the calculation gives 3.1 states/eV/cell. The calculation puts the formation energy at 0.30 eV/atom.

It has space group Cm (No. 8), with a = 8.1056 Å, b = 4.7133 Å, c = 10.4283 Å, α = 90.00°, β = 108.89° and γ = 90.00°. The inequivalent atoms are Cs at (0.0000, 0.0000, 0.0000), Ba at (0.2098, 0.0000, 0.5041), Bi at (0.2790, 0.5000, 0.2714) and Os at (0.4586, 0.0000, 0.3041).

---

# 11
Density functional theory data (GGA-PBE) for an optimized crystal structure of La2SmHg2.

Its volume is 321 Å³/cell. For the density of states at the Fermi level, the calculation gives 11.7 states/eV/cell. The calculation puts the formation energy at -0.31 eV/atom.

It has space group Immm (No. 71), with a = 4.0836 Å, b = 7.6048 Å, c = 10.3436 Å, α = 90.00°, β = 90.00° and γ = 90.00°. The inequivalent atoms are La at (0.0000, 0.0000, 0.2082), Sm at (0.0000, 0.5000, 0.0000) and Hg at (0.0000, 0.2989, 0.5000).

---

# 12
Density functional theory data (GGA-PBE) for an optimized crystal structure of Re2TcRh2.

Its volume is 315 Å³/cell. For the density of states at the Fermi level, the calculation gives 16.3 states/eV/cell. The calculation puts the formation energy at 0.25 eV/atom.

It has space group C2/m (No. 12), with a = 12.0304 Å, b = 4.2732 Å, c = 7.2004 Å, α = 90.00°, β = 121.74° and γ = 90.00°. The inequivalent atoms are Re at (0.0394, 0.0000, 0.2201), Re at (0.1141, 0.5000, 0.0689), Tc at (0.1203, 0.0000, 0.6492), Rh at (0.1722, 0.5000, 0.4763) and Rh at (0.2381, 0.0000, 0.0979).

---

The following E values (in eV per atom) correspond, in order, to the records above: -4.311, -3.413, -6.415, -1.812, -6.500, -1.769, -7.167, -6.131, -5.539, -4.175, -3.344, -9.738.
The following theoretical density values (in g cm⁻³) correspond, in order, to the records above: 9.84, 8.30, 6.80, 5.64, 15.05, 1.89, 14.96, 8.40, 4.19, 5.90, 8.57, 14.27.